Record 1
A relaxed LiGeB2 crystal. Source: Alexandria, functional PBE-GGA.

Computed properties:
As for the magnetic moment: 0.0 μB/f.u. The density of states at the Fermi level comes out at 0.9 states/eV per cell. The formation energy comes out at 0.22 eV/atom. The symmetry is Pm.

Lattice parameters (Å, degrees): 3.1483 3.4694 5.1110 90.00 98.89 90.00
With the nearest neighbours (Å) after each atom.
Positions (direct):
Li 0.0000 0.0000 0.0000  1 B 2.25
Ge 0.5758 0.5000 0.3180  4 B 2.26-2.35
B 0.4104 0.0000 0.5967  2 B 1.57-1.61
B 0.8941 0.0000 0.5537  2 B 1.57-1.61



Record 2
A relaxed LiGeB2 crystal. Source: Alexandria, functional PBE-GGA.

Computed properties:
As for the magnetic moment: 0.0 μB/f.u. The density of states at the Fermi level comes out at 0.9 states/eV per cell. The formation energy comes out at 0.13 eV/atom. The symmetry is Cmm2.

Lattice parameters (Å, degrees): 3.8686 3.8686 4.9970 90.00 90.00 132.40
With the nearest neighbours (Å) after each atom.
Positions (direct):
Li 0.0000 0.0000 0.0000  6 B 2.33-2.60
Ge 0.5000 0.5000 0.4527  2 B 2.15
B 0.2718 0.7282 0.7380  2 B 1.59
B 0.7282 0.2718 0.7380  2 B 1.59